Crystalline Np6FeSb10 at its relaxed geometry. Source: the Alexandria database, functional PBE.

Cell and atoms, written as POSCAR:
```
Np6FeSb10
1.0
6.082 0.000 0.000
0.000 7.815 -4.512
0.000 0.000 9.024
Np Fe Sb
6 1 10
Direct
0.747 0.389 0.389 Np
0.747 0.000 0.611 Np
0.747 0.611 0.000 Np
0.253 0.611 0.611 Np
0.253 0.000 0.389 Np
0.253 0.389 0.000 Np
0.500 0.000 0.000 Fe
0.759 0.756 0.756 Sb
0.759 0.000 0.244 Sb
0.759 0.244 0.000 Sb
0.241 0.244 0.244 Sb
0.241 0.000 0.756 Sb
0.241 0.756 0.000 Sb
0.500 0.333 0.667 Sb
0.500 0.667 0.333 Sb
0.000 0.667 0.333 Sb
0.000 0.333 0.667 Sb
```

Output
**Calculated volume**: 428.9 Å³ per cell
**DOS at the Fermi energy**: 46.54 states/eV/cell
**Total energy**: -131.1 eV/cell
**Raw formation energy**: -0.222 eV/atom

=====

Crystalline NpFeSb at its relaxed geometry. Source: the Alexandria database, functional PBE.

Cell and atoms, written as POSCAR:
```
NpFeSb
1.0
6.268 0.000 0.000
-3.134 5.429 0.000
0.000 0.000 11.035
Sb Fe Np
6 6 6
Direct
0.500 0.000 0.667 Sb
0.000 0.000 0.500 Sb
0.000 0.000 0.833 Sb
0.000 0.000 0.167 Sb
0.500 0.500 0.000 Sb
0.000 0.500 0.333 Sb
0.381 0.761 0.167 Fe
0.761 0.381 0.833 Fe
0.619 0.381 0.500 Fe
0.619 0.239 0.167 Fe
0.381 0.619 0.500 Fe
0.239 0.619 0.833 Fe
0.500 0.500 0.288 Np
0.000 0.500 0.621 Np
0.500 0.500 0.712 Np
0.000 0.500 0.045 Np
0.500 0.000 0.955 Np
0.500 0.000 0.379 Np
```

Output
**Calculated volume**: 375.5 Å³ per cell
**DOS at the Fermi energy**: 33.60 states/eV/cell
**Total energy**: -150.7 eV/cell
**Raw formation energy**: 0.137 eV/atom

=====

Crystalline NpFe4Sb at its relaxed geometry. Source: the Alexandria database, functional PBE.

Cell and atoms, written as POSCAR:
```
NpFe4Sb
1.0
5.008 0.000 0.000
2.504 4.337 0.000
2.504 1.446 4.089
Np Sb Fe
1 1 4
Direct
0.250 0.250 0.250 Np
0.000 0.000 0.000 Sb
0.626 0.626 0.121 Fe
0.626 0.121 0.626 Fe
0.626 0.626 0.626 Fe
0.121 0.626 0.626 Fe
```

Output
**Calculated volume**: 88.8 Å³ per cell
**DOS at the Fermi energy**: 11.19 states/eV/cell
**Total energy**: -50.6 eV/cell
**Raw formation energy**: 0.056 eV/atom

=====

Crystalline NpSc3Fe8 at its relaxed geometry. Source: the Alexandria database, functional PBE.

Cell and atoms, written as POSCAR:
```
NpSc3Fe8
1.0
4.721 0.000 1.425
2.145 4.206 1.425
-0.023 -0.014 8.607
Np Sc Fe
1 3 8
Direct
0.878 0.878 0.367 Np
0.375 0.375 0.875 Sc
0.001 0.001 0.996 Sc
0.499 0.499 0.504 Sc
0.938 0.439 0.185 Fe
0.435 0.937 0.692 Fe
0.439 0.439 0.185 Fe
0.937 0.937 0.692 Fe
0.186 0.186 0.442 Fe
0.688 0.688 0.936 Fe
0.439 0.938 0.185 Fe
0.937 0.435 0.692 Fe
```

Output
**Calculated volume**: 171.1 Å³ per cell
**DOS at the Fermi energy**: 20.66 states/eV/cell
**Formation energy from the elements**: -15.9 kJ per mole of atoms
**Total energy**: -101.6 eV/cell

=====

Crystalline NpScFe2 at its relaxed geometry. Source: the Alexandria database, functional PBE.

Cell and atoms, written as POSCAR:
```
NpScFe2
1.0
3.137 0.000 0.000
0.000 4.562 0.000
0.000 0.000 4.562
Np Sc Fe
1 1 2
Direct
0.500 0.500 0.500 Np
0.500 0.000 0.000 Sc
0.000 0.000 0.500 Fe
0.000 0.500 0.000 Fe
```

Output
**Calculated volume**: 65.3 Å³ per cell
**DOS at the Fermi energy**: 5.17 states/eV/cell
**Formation energy from the elements**: 1.2 kJ per mole of atoms
**Total energy**: -36.1 eV/cell

=====

Crystalline NpScFeTc at its relaxed geometry. Source: the Alexandria database, functional PBE.

Cell and atoms, written as POSCAR:
```
NpScFeTc
1.0
-4.564 0.171 0.488
-2.033 -2.308 3.411
-1.847 2.279 3.534
Np Sc Tc Fe
1 1 1 1
Direct
0.500 0.500 0.500 Np
0.000 0.000 0.000 Sc
0.750 0.750 0.750 Tc
0.250 0.250 0.250 Fe
```

Output
**Calculated volume**: 68.5 Å³ per cell
**DOS at the Fermi energy**: 7.65 states/eV/cell
**Formation energy from the elements**: 0.1 kJ per mole of atoms
**Total energy**: -38.1 eV/cell

=====

Crystalline Np2Tl3FeSe6 at its relaxed geometry. Source: the Alexandria database, functional PBE.

Cell and atoms, written as POSCAR:
```
Np2Tl3FeSe6
1.0
-5.767 -2.433 -3.205
1.591 -2.210 6.484
-2.754 7.418 1.920
Np Tl Fe Se
2 3 1 6
Direct
0.334 0.666 0.000 Np
0.666 0.334 0.000 Np
0.173 0.827 0.500 Tl
0.827 0.173 0.500 Tl
0.500 0.500 0.500 Tl
0.000 0.000 0.000 Fe
0.935 0.620 0.806 Se
0.749 0.749 0.203 Se
0.065 0.380 0.194 Se
0.620 0.935 0.806 Se
0.251 0.251 0.797 Se
0.380 0.065 0.194 Se
```

Output
**Calculated volume**: 334.4 Å³ per cell
**DOS at the Fermi energy**: 24.25 states/eV/cell
**Total energy**: -70.2 eV/cell
**Raw formation energy**: -0.656 eV/atom

=====

Crystalline NpFe2Si3 at its relaxed geometry. Source: the Alexandria database, functional PBE.

Cell and atoms, written as POSCAR:
```
NpFe2Si3
1.0
5.088 0.000 0.000
0.000 5.641 -1.754
0.000 0.206 5.904
Np Fe Si
2 4 6
Direct
0.250 0.355 0.355 Np
0.750 0.645 0.645 Np
0.500 0.799 0.201 Fe
0.000 0.799 0.201 Fe
0.000 0.201 0.799 Fe
0.500 0.201 0.799 Fe
0.750 0.470 0.095 Si
0.750 0.095 0.470 Si
0.250 0.530 0.905 Si
0.750 0.054 0.054 Si
0.250 0.946 0.946 Si
0.250 0.905 0.530 Si
```

Output
**Calculated volume**: 171.3 Å³ per cell
**DOS at the Fermi energy**: 22.37 states/eV/cell
**Total energy**: -96.9 eV/cell
**Raw formation energy**: -0.385 eV/atom

=====

The highest calculated volume belongs to which entry? Np6FeSb10

=====

What is the total energy in the fifth record? -36.1 eV/cell

=====

What is the formula in the fourth record? NpSc3Fe8

=====

Repeat the eighth record exactly.
Crystalline NpFe2Si3 at its relaxed geometry. Source: the Alexandria database, functional PBE.

Cell and atoms, written as POSCAR:
```
NpFe2Si3
1.0
5.088 0.000 0.000
0.000 5.641 -1.754
0.000 0.206 5.904
Np Fe Si
2 4 6
Direct
0.250 0.355 0.355 Np
0.750 0.645 0.645 Np
0.500 0.799 0.201 Fe
0.000 0.799 0.201 Fe
0.000 0.201 0.799 Fe
0.500 0.201 0.799 Fe
0.750 0.470 0.095 Si
0.750 0.095 0.470 Si
0.250 0.530 0.905 Si
0.750 0.054 0.054 Si
0.250 0.946 0.946 Si
0.250 0.905 0.530 Si
```

Output
**Calculated volume**: 171.3 Å³ per cell
**DOS at the Fermi energy**: 22.37 states/eV/cell
**Total energy**: -96.9 eV/cell
**Raw formation energy**: -0.385 eV/atom